one:
An optimized crystal structure of CsBi2I, computed with GGA-PBEsol.

a = 5.891 Å, b = 5.891 Å, c = 5.891 Å
α = 60.00°, β = 60.00°, γ = 60.00°
Fractional coordinates of all 4 atoms:
1 Bi 0.250 0.250 0.250
2 Cs 0.500 0.500 0.500
3 Bi 0.750 0.750 0.750
4 I 0.000 0.000 0.000

SG: Fm-3m (225)
V: 36.1 Å³ per atom
total moment: 0.00 μB/atom

two:
An optimized crystal structure of CsBi2I, computed with GGA-PBEsol.

a = 4.953 Å, b = 4.953 Å, c = 15.014 Å
α = 99.49°, β = 99.49°, γ = 90.00°
Fractional coordinates of all 8 atoms:
1 Cs 0.000 0.000 0.000
2 Bi 0.450 0.375 0.250
3 Bi 0.625 0.200 0.750
4 Cs 0.250 0.750 0.500
5 I 0.500 0.500 0.000
6 Bi 0.800 0.875 0.250
7 Bi 0.125 0.550 0.750
8 I 0.750 0.250 0.500

SG: I-42d (122)
V: 44.8 Å³ per atom
total moment: 0.00 μB/atom

Relative energy of each structure, in kJ/mol of atoms: one 50.6; two 0.0.